Density functional theory data (PBE) for a relaxed structure of TbSmPb.

## Properties
For the calculated volume, the calculation gives 590.4 Å³ per cell. The polymorph energy (0 for the lowest one) is 164 meV/atom. Its formation energy from the elements is -276 meV per atom.

Cell: 5.2661 6.4686 17.3327 Å, 90.00 90.00 90.00°
Space group Pmn2_1 (No. 31)
One atom of each set of equivalent atoms:
Tb 0.0000 0.0087 0.0000 (multiplicity 2)
Tb 0.0000 0.5143 0.9596 (multiplicity 2)
Tb 0.0000 0.8172 0.7848 (multiplicity 2)
Sm 0.0000 0.6774 0.1773 (multiplicity 2)
Sm 0.0000 0.7134 0.5868 (multiplicity 2)
Sm 0.0000 0.8862 0.3817 (multiplicity 2)
Pb 0.0000 0.1717 0.1863 (multiplicity 2)
Pb 0.0000 0.2364 0.5368 (multiplicity 2)
Pb 0.0000 0.3169 0.7897 (multiplicity 2)